1.
Compound: KAlVO4
Source: Alexandria
Functional: PBE+U
Structure: relaxed

As for the density of states at the Fermi level: 0.00 states/eV/f.u.

abc: 5.330 5.526 6.840
angles: 90.00 102.20 90.00
Fractional coordinates of all 14 atoms:
K1 0.150 0.250 0.087
K2 0.850 0.750 0.913
Al1 0.395 0.250 0.648
Al2 0.605 0.750 0.352
V1 0.158 0.750 0.476
V2 0.842 0.250 0.524
O1 0.150 0.025 0.657
O2 0.150 0.475 0.657
O3 0.280 0.750 0.223
O4 0.483 0.250 0.414
O5 0.517 0.750 0.586
O6 0.720 0.250 0.777
O7 0.850 0.525 0.343
O8 0.850 0.975 0.343

=====

2.
Compound: KAlWO5
Source: Alexandria
Functional: PBE+U
Structure: relaxed

As for the density of states at the Fermi level: 0.00 states/eV/f.u.

abc: 5.827 5.827 7.530
angles: 105.85 105.85 104.64
Fractional coordinates of all 16 atoms:
K1 0.171 0.829 0.750
K2 0.829 0.171 0.250
Al1 0.188 0.812 0.250
Al2 0.812 0.188 0.750
W1 0.500 0.500 0.000
W2 0.500 0.500 0.500
O1 0.143 0.279 0.894
O2 0.223 0.614 0.393
O3 0.279 0.143 0.394
O4 0.386 0.777 0.107
O5 0.445 0.555 0.750
O6 0.555 0.445 0.250
O7 0.614 0.223 0.893
O8 0.721 0.857 0.606
O9 0.777 0.386 0.607
O10 0.857 0.721 0.106

=====

Number 1: DFT total energy -6.760 eV/atom. Number 2: DFT total energy -6.939 eV/atom.